[1]
Computed, not measured: HfMn2PbCl after structural relaxation at the GGA-PBE level of DFT.

abc: 4.1445 4.1445 5.4764
angles: 90.00 90.00 90.00
Fractional coordinates of all 5 atoms:
Hf: 0.0000 0.0000 0.0000
Mn: 0.0000 0.5000 0.5000
Mn: 0.5000 0.0000 0.5000
Pb: 0.5000 0.5000 0.0000
Cl: 0.5000 0.5000 0.5000

Computed properties:
The calculation puts the volume at 94 Å³/cell. For the calculated total energy, the calculation gives -28.989 eV/cell. For the formation energy without anion corrections, the calculation gives 0.9716 eV/atom. For the magnetic moment, the calculation gives 0.00 μB/cell. As for the space group: P4/mmm, No. 123. Its crystal system is tetragonal.

***

[2]
Computed, not measured: HfMnS2Cl after structural relaxation at the GGA-PBE level of DFT.

abc: 4.9590 4.9590 4.9469
angles: 90.00 90.00 90.00
Fractional coordinates of all 5 atoms:
Hf: 0.0000 0.0000 0.0000
Mn: 0.5000 0.5000 0.5000
S: 0.0000 0.5000 0.0000
S: 0.5000 0.0000 0.0000
Cl: 0.0000 0.0000 0.5000

Computed properties:
The calculation puts the volume at 122 Å³/cell. For the calculated total energy, the calculation gives -31.938 eV/cell. For the formation energy without anion corrections, the calculation gives -0.5428 eV/atom. For the magnetic moment, the calculation gives 5.70 μB/cell. The value obtained for the relative energy among the computed polymorphs is 0 meV per atom. As for the space group: P4/mmm, No. 123. Its crystal system is tetragonal.

***

[3]
Computed, not measured: Hf2MnSCl after structural relaxation at the GGA-PBE level of DFT.

abc: 4.6534 4.6534 5.1785
angles: 90.00 90.00 90.00
Fractional coordinates of all 5 atoms:
Hf: 0.0000 0.5000 0.0000
Hf: 0.5000 0.0000 0.0000
Mn: 0.0000 0.0000 0.5000
S: 0.5000 0.5000 0.5000
Cl: 0.5000 0.5000 0.0000

Computed properties:
The calculation puts the volume at 112 Å³/cell. For the calculated total energy, the calculation gives -31.432 eV/cell. For the formation energy without anion corrections, the calculation gives 0.7237 eV/atom. For the magnetic moment, the calculation gives 3.90 μB/cell. As for the space group: P4/mmm, No. 123. Its crystal system is tetragonal.

***

[4]
Computed, not measured: HfMnS2Cl after structural relaxation at the GGA-PBE level of DFT.

abc: 4.6192 4.6192 4.4117
angles: 90.00 90.00 90.00
Fractional coordinates of all 5 atoms:
Hf: 0.0000 0.0000 0.0000
Mn: 0.5000 0.5000 0.5000
S: 0.0000 0.5000 0.5000
S: 0.5000 0.0000 0.5000
Cl: 0.5000 0.5000 0.0000

Computed properties:
The calculation puts the volume at 94 Å³/cell. For the calculated total energy, the calculation gives -29.714 eV/cell. For the formation energy without anion corrections, the calculation gives -0.0979 eV/atom. For the magnetic moment, the calculation gives 2.52 μB/cell. The value obtained for the relative energy among the computed polymorphs is 445 meV per atom. As for the space group: P4/mmm, No. 123. Its crystal system is tetragonal.

***

[5]
Computed, not measured: HfMnZnCl2 after structural relaxation at the GGA-PBE level of DFT.

abc: 4.6441 4.6441 5.7702
angles: 90.00 90.00 90.00
Fractional coordinates of all 5 atoms:
Hf: 0.0000 0.0000 0.0000
Mn: 0.5000 0.5000 0.0000
Zn: 0.0000 0.0000 0.5000
Cl: 0.0000 0.5000 0.5000
Cl: 0.5000 0.0000 0.5000

Computed properties:
The calculation puts the volume at 124 Å³/cell. For the calculated total energy, the calculation gives -21.182 eV/cell. For the formation energy without anion corrections, the calculation gives 0.5817 eV/atom. For the magnetic moment, the calculation gives 3.08 μB/cell. As for the space group: P4/mmm, No. 123. Its crystal system is tetragonal.

***

[6]
Computed, not measured: HfMo2Cl after structural relaxation at the GGA-PBE level of DFT.

abc: 4.5940 4.5940 4.5940
angles: 60.00 60.00 60.00
Fractional coordinates of all 4 atoms:
Hf: 0.0000 0.0000 0.0000
Mo: 0.2500 0.2500 0.2500
Mo: 0.7500 0.7500 0.7500
Cl: 0.5000 0.5000 0.5000

Computed properties:
The calculation puts the volume at 69 Å³/cell. For the calculated total energy, the calculation gives -29.755 eV/cell. For the formation energy without anion corrections, the calculation gives 0.9268 eV/atom. For the magnetic moment, the calculation gives 0.00 μB/cell. The value obtained for the relative energy among the computed polymorphs is 309 meV per atom. As for the space group: Fm-3m, No. 225. Its crystal system is cubic.

***

[7]
Computed, not measured: HfMoCl3 after structural relaxation at the GGA-PBE level of DFT.

abc: 5.0080 5.0080 5.0080
angles: 90.00 90.00 90.00
Fractional coordinates of all 5 atoms:
Hf: 0.0000 0.0000 0.0000
Mo: 0.5000 0.5000 0.5000
Cl: 0.0000 0.0000 0.5000
Cl: 0.0000 0.5000 0.0000
Cl: 0.5000 0.0000 0.0000

Computed properties:
The calculation puts the volume at 126 Å³/cell. For the calculated total energy, the calculation gives -26.183 eV/cell. For the formation energy without anion corrections, the calculation gives 0.0283 eV/atom. For the magnetic moment, the calculation gives 5.55 μB/cell. The value obtained for the relative energy among the computed polymorphs is 0 meV per atom. As for the space group: Pm-3m, No. 221. Its crystal system is cubic.

***

[8]
Computed, not measured: HfMoCl3 after structural relaxation at the GGA-PBE level of DFT.

abc: 4.9418 4.9418 4.9418
angles: 90.00 90.00 90.00
Fractional coordinates of all 5 atoms:
Hf: 0.0000 0.0000 0.0000
Mo: 0.5000 0.5000 0.5000
Cl: 0.0000 0.5000 0.5000
Cl: 0.5000 0.0000 0.5000
Cl: 0.5000 0.5000 0.0000

Computed properties:
The calculation puts the volume at 121 Å³/cell. For the calculated total energy, the calculation gives -23.628 eV/cell. For the formation energy without anion corrections, the calculation gives 0.5392 eV/atom. For the magnetic moment, the calculation gives 4.44 μB/cell. The value obtained for the relative energy among the computed polymorphs is 511 meV per atom. As for the space group: Pm-3m, No. 221. Its crystal system is cubic.

***

[9]
Computed, not measured: Hf3MoCl after structural relaxation at the GGA-PBE level of DFT.

abc: 5.0974 5.0974 5.0974
angles: 90.00 90.00 90.00
Fractional coordinates of all 5 atoms:
Hf: 0.0000 0.0000 0.5000
Hf: 0.0000 0.5000 0.0000
Hf: 0.5000 0.0000 0.0000
Mo: 0.0000 0.0000 0.0000
Cl: 0.5000 0.5000 0.5000

Computed properties:
The calculation puts the volume at 132 Å³/cell. For the calculated total energy, the calculation gives -38.527 eV/cell. For the formation energy without anion corrections, the calculation gives 0.8022 eV/atom. For the magnetic moment, the calculation gives 0.00 μB/cell. The value obtained for the relative energy among the computed polymorphs is 412 meV per atom. As for the space group: Pm-3m, No. 221. Its crystal system is cubic.

***

[10]
Computed, not measured: HfMo2Cl after structural relaxation at the GGA-PBE level of DFT.

abc: 5.8828 5.8828 5.8828
angles: 100.60 100.60 129.20
Fractional coordinates of all 8 atoms:
Hf: 0.0000 0.0000 0.0000
Hf: 0.7500 0.2500 0.5000
Mo: 0.2163 0.6250 0.0913
Mo: 0.3750 0.4663 0.5913
Mo: 0.5337 0.1250 0.9087
Mo: 0.8750 0.7837 0.4087
Cl: 0.2500 0.7500 0.5000
Cl: 0.5000 0.5000 0.0000

Computed properties:
The calculation puts the volume at 143 Å³/cell. For the calculated total energy, the calculation gives -61.983 eV/cell. For the formation energy without anion corrections, the calculation gives 0.6177 eV/atom. For the magnetic moment, the calculation gives 0.00 μB/cell. The value obtained for the relative energy among the computed polymorphs is 0 meV per atom. As for the space group: I-42d, No. 122. Its crystal system is tetragonal.

***

[11]
Computed, not measured: Hf3MoCl after structural relaxation at the GGA-PBE level of DFT.

abc: 4.6758 4.6758 4.6758
angles: 90.00 90.00 90.00
Fractional coordinates of all 5 atoms:
Hf: 0.0000 0.0000 0.5000
Hf: 0.0000 0.5000 0.0000
Hf: 0.5000 0.0000 0.0000
Mo: 0.5000 0.5000 0.5000
Cl: 0.0000 0.0000 0.0000

Computed properties:
The calculation puts the volume at 102 Å³/cell. For the calculated total energy, the calculation gives -40.586 eV/cell. For the formation energy without anion corrections, the calculation gives 0.3903 eV/atom. For the magnetic moment, the calculation gives 1.06 μB/cell. The value obtained for the relative energy among the computed polymorphs is 0 meV per atom. As for the space group: Pm-3m, No. 221. Its crystal system is cubic.

***

[12]
Computed, not measured: HfNiMoCl2 after structural relaxation at the GGA-PBE level of DFT.

abc: 4.8470 4.8470 5.0238
angles: 90.00 90.00 90.00
Fractional coordinates of all 5 atoms:
Hf: 0.0000 0.0000 0.0000
Ni: 0.0000 0.0000 0.5000
Mo: 0.5000 0.5000 0.5000
Cl: 0.0000 0.5000 0.0000
Cl: 0.5000 0.0000 0.0000

Computed properties:
The calculation puts the volume at 118 Å³/cell. For the calculated total energy, the calculation gives -27.185 eV/cell. For the formation energy without anion corrections, the calculation gives 0.6148 eV/atom. For the magnetic moment, the calculation gives 4.72 μB/cell. As for the space group: P4/mmm, No. 123. Its crystal system is tetragonal.